Hf3NbCd | meta-GGA SCAN | PBEsol geometry

Its density of states at the Fermi level is 5.529 states/eV per cell. The value obtained for the formation energy is 1.49 eV/atom. As for the crystal system: cubic.

It has space group Pm-3m (No. 221), with a = 5.0306 Å, b = 5.0306 Å, c = 5.0306 Å, α = 90.00°, β = 90.00° and γ = 90.00°. The inequivalent atoms are Hf at (0.0000, 0.0000, 0.5000), Nb at (0.5000, 0.5000, 0.5000) and Cd at (0.0000, 0.0000, 0.0000).

***

TiCoP | meta-GGA SCAN | PBEsol geometry

Its density of states at the Fermi level is 3.211 states/eV per cell. The value obtained for the formation energy is -1.14 eV/atom. As for the crystal system: orthorhombic.

It has space group Pnma (No. 62), with a = 5.9613 Å, b = 3.5144 Å, c = 6.7668 Å, α = 90.00°, β = 90.00° and γ = 90.00°. The inequivalent atoms are Ti at (0.0241, 0.2500, 0.1787), Co at (0.1397, 0.2500, 0.5621) and P at (0.2324, 0.7500, 0.3787).

***

SiHgCl2 | meta-GGA SCAN | PBEsol geometry

The energy relative to the elements, uncorrected comes out at -0.36 eV/atom. As for the crystal system: tetragonal.

It has space group P4mm (No. 99), with a = 3.7419 Å, b = 3.7419 Å, c = 8.4453 Å, α = 90.00°, β = 90.00° and γ = 90.00°. The inequivalent atoms are Si at (0.0000, 0.0000, 0.0000), Hg at (0.5000, 0.5000, 0.5472), Cl at (0.0000, 0.0000, 0.2459) and Cl at (0.5000, 0.5000, 0.9792).

***

NaPt2 | meta-GGA SCAN | PBEsol geometry

Its density of states at the Fermi level is 6.952 states/eV per cell. The value obtained for the formation energy is -0.08 eV/atom. As for the crystal system: orthorhombic.

It has space group Cmcm (No. 63), with a = 4.2411 Å, b = 12.0033 Å, c = 3.6927 Å, α = 90.00°, β = 90.00° and γ = 90.00°. The inequivalent atoms are Na at (0.0000, 0.0806, 0.2500), Pt at (0.0000, 0.2545, 0.7500) and Pt at (0.0000, 0.4167, 0.2500).

***

Q: Number 3 is which compound?
A: SiHgCl2